The following is a PBE calculation of a geometry-optimized K2PtC2 structure, from the Open Quantum Materials Database.

Properties
**Magnetic moment**: 0.0 μB per formula unit
**Total energy**: -5.4356 eV/atom
**V**: 122 Å³/cell
**Space-group type**: No. 164

a b c (Å): 5.186 5.186 5.239
angles (deg): 90.00 90.00 120.00
Atoms (fractional coordinates):
K 0.333 0.667 0.225
K 0.667 0.333 0.775
Pt 0.000 0.000 0.500
C 0.000 0.000 0.122
C 0.000 0.000 0.878

=====

The following is a PBE calculation of a geometry-optimized Cu5Ag4 structure, from the Open Quantum Materials Database.

Properties
**Polymorph energy (0 for the lowest one)**: 0.50 eV/f.u.
**V**: 131 Å³/cell
**Space-group type**: No. 12

a b c (Å): 4.755 4.755 8.233
angles (deg): 106.44 106.44 47.93
Atoms (fractional coordinates):
Cu 0.000 0.000 0.000
Cu 0.007 0.007 0.680
Cu 0.330 0.330 0.106
Cu 0.670 0.670 0.894
Cu 0.993 0.993 0.320
Ag 0.335 0.335 0.438
Ag 0.344 0.344 0.792
Ag 0.656 0.656 0.208
Ag 0.665 0.665 0.562

=====

The following is a PBE calculation of a geometry-optimized CoSbMoW structure, from the Open Quantum Materials Database.

Properties
**Magnetic moment**: 1.8 μB per formula unit
**Polymorph energy (0 for the lowest one)**: 0.00 eV/f.u.
**V**: 63 Å³/cell
**Space-group type**: No. 216

a b c (Å): 4.468 4.468 4.468
angles (deg): 60.00 60.00 60.00
Atoms (fractional coordinates):
Co 0.000 0.000 0.000
Sb 0.750 0.750 0.750
Mo 0.500 0.500 0.500
W 0.250 0.250 0.250

=====

The following is a PBE calculation of a geometry-optimized KYCdS3 structure, from the Open Quantum Materials Database.

Properties
**Magnetic moment**: 0.0 μB per formula unit
**Total energy**: -4.8661 eV/atom
**V**: 329 Å³/cell
**Space-group type**: No. 11

a b c (Å): 8.146 4.119 10.303
angles (deg): 90.00 107.96 90.00
Atoms (fractional coordinates):
K 0.247 0.250 0.238
K 0.753 0.750 0.762
Y 0.184 0.750 0.629
Y 0.816 0.250 0.371
Cd 0.417 0.250 0.887
Cd 0.583 0.750 0.113
S 0.037 0.750 0.360
S 0.260 0.750 0.939
S 0.419 0.250 0.646
S 0.581 0.750 0.354
S 0.740 0.250 0.061
S 0.963 0.250 0.640

=====

The following is a PBE calculation of a geometry-optimized Ho2Fe2B4Ir3 structure, from the Open Quantum Materials Database.

Properties
**Magnetic moment**: 1.0 μB per formula unit
**Total energy**: -7.8016 eV/atom
**V**: 145 Å³/cell
**Space-group type**: No. 69

a b c (Å): 7.426 6.289 5.469
angles (deg): 77.99 55.93 46.08
Atoms (fractional coordinates):
Ho 0.138 0.138 0.862
Ho 0.862 0.862 0.138
Fe 0.000 0.000 0.500
Fe 0.500 0.500 0.000
B 0.210 0.542 0.458
B 0.458 0.790 0.210
B 0.542 0.210 0.790
B 0.790 0.458 0.542
Ir 0.250 0.250 0.250
Ir 0.500 0.500 0.500
Ir 0.750 0.750 0.750

=====

The following is a PBE calculation of a geometry-optimized ScCuAg2 structure, from the Open Quantum Materials Database.

Properties
**Magnetic moment**: 0.0 μB per formula unit
**Total energy**: -4.0680 eV/atom
**V**: 69 Å³/cell
**Space-group type**: No. 216

a b c (Å): 4.611 4.611 4.611
angles (deg): 60.00 60.00 60.00
Atoms (fractional coordinates):
Sc 0.000 0.000 0.000
Cu 0.250 0.250 0.250
Ag 0.500 0.500 0.500
Ag 0.750 0.750 0.750

=====

The following is a PBE calculation of a geometry-optimized TlW3C2 structure, from the Open Quantum Materials Database.

Properties
**Magnetic moment**: 0.0 μB per formula unit
**Total energy**: -9.5578 eV/atom
**V**: 165 Å³/cell
**Space-group type**: No. 194

a b c (Å): 3.132 3.132 19.377
angles (deg): 90.00 90.00 120.00
Atoms (fractional coordinates):
Tl 0.000 0.000 0.250
Tl 0.000 0.000 0.750
W 0.000 0.000 0.000
W 0.000 0.000 0.500
W 0.333 0.667 0.123
W 0.333 0.667 0.377
W 0.667 0.333 0.623
W 0.667 0.333 0.877
C 0.333 0.667 0.566
C 0.333 0.667 0.934
C 0.667 0.333 0.066
C 0.667 0.333 0.434

=====

The following is a PBE calculation of a geometry-optimized HfZr2 structure, from the Open Quantum Materials Database.

Properties
**Magnetic moment**: 0.1 μB per formula unit
**Total energy**: -8.1381 eV/atom
**V**: 77 Å³/cell
**Space-group type**: No. 225

a b c (Å): 4.777 4.777 4.777
angles (deg): 60.00 60.00 60.00
Atoms (fractional coordinates):
Hf 0.000 0.000 0.000
Zr 0.250 0.250 0.250
Zr 0.750 0.750 0.750

=====

The following is a PBE calculation of a geometry-optimized Ac3AgPd8 structure, from the Open Quantum Materials Database.

Properties
**Magnetic moment**: 0.0 μB per formula unit
**Total energy**: -5.4136 eV/atom
**V**: 247 Å³/cell
**Space-group type**: No. 160

a b c (Å): 9.702 9.702 9.702
angles (deg): 33.41 33.41 33.41
Atoms (fractional coordinates):
Ac 0.000 0.000 0.000
Ac 0.131 0.131 0.131
Ac 0.523 0.523 0.523
Ag 0.644 0.644 0.644
Pd 0.071 0.572 0.572
Pd 0.073 0.073 0.568
Pd 0.073 0.568 0.073
Pd 0.321 0.321 0.321
Pd 0.568 0.073 0.073
Pd 0.572 0.071 0.572
Pd 0.572 0.572 0.071
Pd 0.822 0.822 0.822

=====

The following is a PBE calculation of a geometry-optimized YHo2Cu4Si4 structure, from the Open Quantum Materials Database.

Properties
**Magnetic moment**: 0.0 μB per formula unit
**Total energy**: -5.3874 eV/atom
**V**: 183 Å³/cell
**Space-group type**: No. 71

a b c (Å): 7.832 7.832 7.832
angles (deg): 149.52 130.73 59.05
Atoms (fractional coordinates):
Y 0.000 0.000 0.000
Ho 0.371 0.871 0.500
Ho 0.629 0.129 0.500
Cu 0.022 0.331 0.691
Cu 0.360 0.669 0.691
Cu 0.640 0.331 0.309
Cu 0.978 0.669 0.309
Si 0.217 0.217 0.000
Si 0.315 0.500 0.815
Si 0.685 0.500 0.185
Si 0.783 0.783 0.000

=====

The following is a PBE calculation of a geometry-optimized Ho3Mg3AlAgHg structure, from the Open Quantum Materials Database.

Properties
**Magnetic moment**: 0.0 μB per formula unit
**Total energy**: -3.1441 eV/atom
**V**: 212 Å³/cell
**Space-group type**: No. 174

a b c (Å): 7.613 7.613 4.232
angles (deg): 90.00 90.00 120.00
Atoms (fractional coordinates):
Ho 0.004 0.415 0.000
Ho 0.411 0.996 0.000
Ho 0.585 0.589 0.000
Mg 0.002 0.756 0.500
Mg 0.244 0.247 0.500
Mg 0.753 0.998 0.500
Al 0.333 0.667 0.500
Ag 0.000 0.000 0.000
Hg 0.667 0.333 0.500

=====

The following is a PBE calculation of a geometry-optimized DyHfSn structure, from the Open Quantum Materials Database.

Properties
**Magnetic moment**: 0.0 μB per formula unit
**Polymorph energy (0 for the lowest one)**: 0.00 eV/f.u.
**V**: 155 Å³/cell
**Space-group type**: No. 129

a b c (Å): 4.353 4.353 8.163
angles (deg): 90.00 90.00 90.00
Atoms (fractional coordinates):
Dy 0.250 0.250 0.163
Dy 0.750 0.750 0.837
Hf 0.250 0.750 0.500
Hf 0.750 0.250 0.500
Sn 0.250 0.250 0.767
Sn 0.750 0.750 0.233

=====

The following is a PBE calculation of a geometry-optimized Pr4GaNi2Ge4 structure, from the Open Quantum Materials Database.

Properties
**Magnetic moment**: 0.0 μB per formula unit
**Total energy**: -5.4288 eV/atom
**V**: 238 Å³/cell
**Space-group type**: No. 12

a b c (Å): 8.269 8.269 7.201
angles (deg): 107.26 107.26 30.47
Atoms (fractional coordinates):
Pr 0.089 0.089 0.378
Pr 0.153 0.153 0.943
Pr 0.847 0.847 0.057
Pr 0.911 0.911 0.622
Ga 0.500 0.500 0.000
Ni 0.286 0.286 0.354
Ni 0.714 0.714 0.646
Ge 0.288 0.288 0.708
Ge 0.436 0.436 0.340
Ge 0.564 0.564 0.660
Ge 0.712 0.712 0.292

=====

The following is a PBE calculation of a geometry-optimized Pr2Ge4IrPt structure, from the Open Quantum Materials Database.

Properties
**Magnetic moment**: 0.0 μB per formula unit
**Total energy**: -6.2089 eV/atom
**V**: 168 Å³/cell
**Space-group type**: No. 38

a b c (Å): 4.475 8.863 8.863
angles (deg): 28.52 90.00 90.00
Atoms (fractional coordinates):
Pr 0.000 0.000 0.000
Pr 0.500 0.216 0.216
Ge 0.000 0.358 0.358
Ge 0.000 0.647 0.647
Ge 0.500 0.573 0.573
Ge 0.500 0.855 0.855
Ir 0.000 0.789 0.789
Pt 0.500 0.430 0.430

=====

The following is a PBE calculation of a geometry-optimized DyHo2Al3Cu2Pd structure, from the Open Quantum Materials Database.

Properties
**Magnetic moment**: 0.0 μB per formula unit
**Total energy**: -4.7632 eV/atom
**V**: 174 Å³/cell
**Space-group type**: No. 38

a b c (Å): 4.065 7.025 7.025
angles (deg): 119.95 90.00 90.00
Atoms (fractional coordinates):
Dy 0.000 0.000 0.000
Ho 0.000 0.418 0.837
Ho 0.000 0.837 0.418
Al 0.500 0.179 0.419
Al 0.500 0.419 0.179
Al 0.500 0.658 0.658
Cu 0.500 0.086 0.751
Cu 0.500 0.751 0.086
Pd 0.000 0.419 0.419

=====

The following is a PBE calculation of a geometry-optimized AlCuW4C2 structure, from the Open Quantum Materials Database.

Properties
**Magnetic moment**: 0.0 μB per formula unit
**Total energy**: -9.5568 eV/atom
**V**: 106 Å³/cell
**Space-group type**: No. 187

a b c (Å): 3.020 3.020 13.442
angles (deg): 90.00 90.00 120.00
Atoms (fractional coordinates):
Al 0.000 0.000 0.000
Cu 0.333 0.667 0.500
W 0.000 0.000 0.342
W 0.000 0.000 0.658
W 0.333 0.667 0.162
W 0.333 0.667 0.838
C 0.667 0.333 0.253
C 0.667 0.333 0.747

=====

The following is a PBE calculation of a geometry-optimized LuZnCoOs structure, from the Open Quantum Materials Database.

Properties
**Magnetic moment**: 0.4 μB per formula unit
**Polymorph energy (0 for the lowest one)**: 0.00 eV/f.u.
**V**: 62 Å³/cell
**Space-group type**: No. 216

a b c (Å): 4.441 4.441 4.441
angles (deg): 60.00 60.00 60.00
Atoms (fractional coordinates):
Lu 0.000 0.000 0.000
Zn 0.500 0.500 0.500
Co 0.750 0.750 0.750
Os 0.250 0.250 0.250

=====

The following is a PBE calculation of a geometry-optimized BaZr2 structure, from the Open Quantum Materials Database.

Properties
**Magnetic moment**: 0.3 μB per formula unit
**Polymorph energy (0 for the lowest one)**: 0.63 eV/f.u.
**V**: 186 Å³/cell
**Space-group type**: No. 189

a b c (Å): 6.358 6.358 5.324
angles (deg): 90.00 90.00 120.00
Atoms (fractional coordinates):
Ba 0.333 0.667 0.000
Ba 0.667 0.333 0.000
Zr 0.000 0.000 0.000
Zr 0.000 0.268 0.500
Zr 0.268 0.000 0.500
Zr 0.732 0.732 0.500

=====

The following is a PBE calculation of a geometry-optimized UCoOs structure, from the Open Quantum Materials Database.

Properties
**Magnetic moment**: 0.0 μB per formula unit
**Polymorph energy (0 for the lowest one)**: 0.00 eV/f.u.
**V**: 53 Å³/cell
**Space-group type**: No. 216

a b c (Å): 4.206 4.206 4.206
angles (deg): 60.00 60.00 60.00
Atoms (fractional coordinates):
U 0.000 0.000 0.000
Co 0.750 0.750 0.750
Os 0.500 0.500 0.500

=====

The following is a PBE calculation of a geometry-optimized LaIn3Pt structure, from the Open Quantum Materials Database.

Properties
**Magnetic moment**: 0.0 μB per formula unit
**Total energy**: -4.4309 eV/atom
**V**: 126 Å³/cell
**Space-group type**: No. 107

a b c (Å): 6.696 6.696 6.696
angles (deg): 139.38 139.38 58.79
Atoms (fractional coordinates):
La 0.000 0.000 0.000
In 0.247 0.747 0.500
In 0.407 0.407 0.000
In 0.747 0.247 0.500
Pt 0.630 0.630 0.000